# 1
DFT (PBE) results for a relaxed structure of YTm2ZrP4.

Energy of formation ... -1.55 eV per atom
M_tot ... 0.0 μB per formula unit
Fermi-level density of states ... 1.53 states/eV/f.u.
Final energy ... -58.0 eV/cell
V ... 21.0 A^3/atom

Cell lengths 6.7570, 3.8988, 6.7625 Å; angles 90.00, 109.29, 90.00 degrees
Element x y z (fractional)
Y (0.0000, 0.0000, 0.0000)
Tm (0.5000, 0.0000, 0.5000)
Tm (0.5000, 0.5000, 0.0000)
Zr (0.0000, 0.5000, 0.5000)
P (0.2437, 0.0000, 0.7408)
P (0.2486, 0.5000, 0.2572)
P (0.7514, 0.5000, 0.7428)
P (0.7563, 0.0000, 0.2592)

=====

# 2
DFT (PBE) results for a relaxed structure of TmZr5P6.

Energy of formation ... -1.38 eV per atom
M_tot ... 0.0 μB per formula unit
Fermi-level density of states ... 4.66 states/eV/f.u.
Final energy ... -96.2 eV/cell
V ... 19.0 A^3/atom

Cell lengths 6.5277, 6.5277, 6.5486 Å; angles 99.60, 99.60, 119.90 degrees
Element x y z (fractional)
Tm (0.0000, 0.0000, 0.0000)
Zr (0.1638, 0.8362, 0.5000)
Zr (0.3330, 0.6670, 0.0000)
Zr (0.5000, 0.5000, 0.5000)
Zr (0.6670, 0.3330, 0.0000)
Zr (0.8362, 0.1638, 0.5000)
P (0.0846, 0.4226, 0.2544)
P (0.2546, 0.2546, 0.7501)
P (0.4226, 0.0846, 0.2544)
P (0.5774, 0.9154, 0.7456)
P (0.7454, 0.7454, 0.2499)
P (0.9154, 0.5774, 0.7456)

=====

# 3
DFT (PBE) results for a relaxed structure of TmZr2P.

Energy relative to the lowest polymorph listed for this composition ... 266.2 meV per atom
Energy of formation ... -0.38 eV per atom
M_tot ... 0.0 μB per formula unit
Fermi-level density of states ... 3.56 states/eV/f.u.
Final energy ... -28.5 eV/cell
V ... 25.1 A^3/atom

Cell lengths 9.4921, 9.4921, 9.4921 Å; angles 21.45, 21.45, 21.45 degrees
Element x y z (fractional)
Tm (0.0000, 0.0000, 0.0000)
Zr (0.1131, 0.1131, 0.1131)
Zr (0.8869, 0.8869, 0.8869)
P (0.5000, 0.5000, 0.5000)